No. 1
Sr2YOs: optimized geometry, GGA-PBE.

Calculated values
Energy above the most stable polymorph in this dataset: 108 meV/atom

Unit cell a=6.858 b=6.858 c=6.858 alpha=147.74 beta=128.92 gamma=61.71
Atoms (fractional coordinates):
Sr 0.000 0.000 0.000
Sr 0.685 0.185 0.500
Y 0.322 0.822 0.500
Os 0.479 0.479 0.000

No. 2
SrY2Os: optimized geometry, GGA-PBE.

Calculated values
Energy above the most stable polymorph in this dataset: 190 meV/atom

Unit cell a=8.127 b=8.127 c=8.127 alpha=155.20 beta=145.68 gamma=42.80
Atoms (fractional coordinates):
Sr 0.000 0.000 0.000
Y 0.328 0.828 0.500
Y 0.676 0.676 0.000
Os 0.819 0.319 0.500

No. 3
Sr2YOs: optimized geometry, GGA-PBE.

Calculated values
Energy above the most stable polymorph in this dataset: 548 meV/atom

Unit cell a=3.871 b=4.327 c=7.029 alpha=90.00 beta=90.00 gamma=90.00
Atoms (fractional coordinates):
Sr 0.000 0.000 0.211
Sr 0.000 0.000 0.789
Y 0.500 0.500 0.500
Os 0.500 0.500 0.000

No. 4
Sr2YOs: optimized geometry, GGA-PBE.

Calculated values
Energy above the most stable polymorph in this dataset: 467 meV/atom

Unit cell a=3.504 b=3.504 c=10.363 alpha=90.00 beta=90.00 gamma=90.00
Atoms (fractional coordinates):
Sr 0.000 0.000 0.179
Sr 0.000 0.000 0.821
Y 0.500 0.500 0.500
Os 0.500 0.500 0.000

No. 5
Sr2YOs: optimized geometry, GGA-PBE.

Calculated values
Energy above the most stable polymorph in this dataset: 306 meV/atom

Unit cell a=8.195 b=8.195 c=8.195 alpha=96.11 beta=96.11 gamma=141.92
Atoms (fractional coordinates):
Sr 0.375 0.232 0.357
Sr 0.768 0.125 0.143
Sr 0.875 0.018 0.643
Sr 0.982 0.625 0.857
Y 0.250 0.750 0.500
Y 0.500 0.500 0.000
Os 0.000 0.000 0.000
Os 0.750 0.250 0.500

No. 6
Sr2YOs: optimized geometry, GGA-PBE.

Calculated values
Energy above the most stable polymorph in this dataset: 336 meV/atom

Unit cell a=5.356 b=5.356 c=5.356 alpha=60.00 beta=60.00 gamma=60.00
Atoms (fractional coordinates):
Sr 0.000 0.000 0.000
Sr 0.250 0.250 0.250
Y 0.750 0.750 0.750
Os 0.500 0.500 0.500

No. 7
SrY2Os: optimized geometry, GGA-PBE.

Calculated values
Energy above the most stable polymorph in this dataset: 350 meV/atom

Unit cell a=7.115 b=7.115 c=7.115 alpha=102.06 beta=102.06 gamma=125.60
Atoms (fractional coordinates):
Sr 0.000 0.000 0.000
Sr 0.750 0.250 0.500
Y 0.227 0.625 0.102
Y 0.375 0.477 0.602
Y 0.523 0.125 0.898
Y 0.875 0.773 0.398
Os 0.250 0.750 0.500
Os 0.500 0.500 0.000

No. 8
Sr2YOs: optimized geometry, GGA-PBE.

Calculated values
Energy above the most stable polymorph in this dataset: 508 meV/atom

Unit cell a=3.984 b=5.017 c=6.222 alpha=90.00 beta=104.37 gamma=90.00
Atoms (fractional coordinates):
Sr 0.122 0.000 0.286
Sr 0.878 0.000 0.714
Y 0.500 0.500 0.000
Os 0.500 0.500 0.500

No. 9
Sr2YOs: optimized geometry, GGA-PBE.

Calculated values
Energy above the most stable polymorph in this dataset: 41 meV/atom

Unit cell a=9.088 b=9.088 c=9.088 alpha=157.61 beta=150.55 gamma=37.30
Atoms (fractional coordinates):
Sr 0.153 0.153 0.000
Sr 0.847 0.847 0.000
Y 0.500 0.000 0.500
Os 0.000 0.500 0.500

No. 10
SrYOs3: optimized geometry, GGA-PBE.

Calculated values
Energy above the most stable polymorph in this dataset: 0 meV/atom

Unit cell a=5.018 b=5.018 c=5.018 alpha=90.00 beta=90.00 gamma=90.00
Atoms (fractional coordinates):
Sr 0.000 0.000 0.000
Y 0.500 0.500 0.500
Os 0.000 0.500 0.500
Os 0.500 0.000 0.500
Os 0.500 0.500 0.000

No. 11
SrY2Os: optimized geometry, GGA-PBE.

Calculated values
Energy above the most stable polymorph in this dataset: 181 meV/atom

Unit cell a=6.371 b=6.371 c=6.371 alpha=145.54 beta=124.88 gamma=66.65
Atoms (fractional coordinates):
Sr 0.000 0.000 0.000
Y 0.313 0.813 0.500
Y 0.687 0.187 0.500
Os 0.500 0.500 0.000

No. 12
SrY2Os: optimized geometry, GGA-PBE.

Calculated values
Energy above the most stable polymorph in this dataset: 0 meV/atom

Unit cell a=3.477 b=3.477 c=9.997 alpha=90.00 beta=90.00 gamma=90.00
Atoms (fractional coordinates):
Sr 0.000 0.000 0.000
Y 0.500 0.500 0.337
Y 0.500 0.500 0.663
Os 0.000 0.000 0.500